Here is a relaxed LiYNi2B crystal from Alexandria. Energies are from GGA-PBE.

a = 4.0302 Å, b = 4.0302 Å, c = 4.1566 Å
α = 90.00°, β = 90.00°, γ = 90.00°
Space group P4/mmm (No. 123)
Inequivalent atoms, fractional coordinates:
Li 0.0000 0.0000 0.0000 (multiplicity 1)
Y 0.5000 0.5000 0.0000 (multiplicity 1)
Ni 0.0000 0.5000 0.5000 (multiplicity 2)
B 0.0000 0.0000 0.5000 (multiplicity 1)

calculated volume: 13.5 Å³/atom
mass density: 5.51 g/cm³
E: -0.20348 hartree per atom
formation enthalpy at 0 K: -0.213 eV/atom
crystal system: tetragonal

***

Here is a relaxed La9Pm4Tl11 crystal from Alexandria. Energies are from GGA-PBE.

a = 18.5309 Å, b = 21.9545 Å, c = 3.6555 Å
α = 90.00°, β = 90.00°, γ = 90.00°
Space group Cmmm (No. 65)
Inequivalent atoms, fractional coordinates:
La 0.0000 0.0000 0.0000 (multiplicity 2)
La 0.1172 0.2408 0.0000 (multiplicity 8)
La 0.1215 0.4132 0.0000 (multiplicity 8)
Pm 0.1502 0.0859 0.0000 (multiplicity 8)
Tl 0.0000 0.1367 0.5000 (multiplicity 4)
Tl 0.0000 0.3305 0.5000 (multiplicity 4)
Tl 0.0000 0.5000 0.5000 (multiplicity 2)
Tl 0.2407 0.5000 0.5000 (multiplicity 4)
Tl 0.2434 0.3254 0.5000 (multiplicity 8)

calculated volume: 31.0 Å³/atom
mass density: 9.11 g/cm³
E: -0.14961 hartree per atom
formation enthalpy at 0 K: -0.347 eV/atom
crystal system: orthorhombic

***

Here is a relaxed Ac2TeO crystal from Alexandria. Energies are from GGA-PBE.

a = 4.1384 Å, b = 4.1384 Å, c = 22.3874 Å
α = 90.00°, β = 90.00°, γ = 120.00°
Space group R-3m (No. 166, hexagonal axes)
Inequivalent atoms, fractional coordinates:
Ac 0.0000 0.0000 0.2302 (multiplicity 6)
Te 0.0000 0.0000 0.0000 (multiplicity 3)
O 0.0000 0.0000 0.5000 (multiplicity 3)

uncorrected formation energy: -742 kJ/mol of formula units
calculated volume: 27.7 Å³/atom
distance to the lowest polymorph of the same formula: 0 meV/atom
mass density: 8.97 g/cm³
E: -0.22053 hartree per atom
crystal system: trigonal

***

Here is a relaxed PuInPb4 crystal from Alexandria. Energies are from GGA-PBE.

a = 9.1256 Å, b = 9.1256 Å, c = 9.1256 Å
α = 90.00°, β = 90.00°, γ = 90.00°
Space group F-43m (No. 216)
Inequivalent atoms, fractional coordinates:
Pu 0.0000 0.0000 0.0000 (multiplicity 4)
In 0.2500 0.2500 0.2500 (multiplicity 4)
Pb 0.1254 0.1254 0.6254 (multiplicity 16)

calculated volume: 31.7 Å³/atom
mass density: 10.38 g/cm³
E: -0.19144 hartree per atom
formation enthalpy at 0 K: 0.108 eV/atom
crystal system: cubic